Entry 1:
! LiNi2H | Alexandria via LeMat-Bulk | PBEsol | relaxed; values from VASP
&SYSTEM
  ibrav = 0, nat = 4, ntyp = 3
/
ATOMIC_SPECIES
Ni 58.69 Ni.upf
H 1.01 H.upf
Li 6.94 Li.upf
ATOMIC_POSITIONS crystal
Ni 0.250 0.250 0.250
Ni 0.750 0.750 0.750
H 0.000 0.000 0.000
Li 0.500 0.500 0.500
CELL_PARAMETERS angstrom
-1.809 0.673 3.063
-3.596 0.409 -0.075
-2.141 -2.543 1.433
! energy: -3.95 eV/atom
! crystal system: cubic
! volume: 8.4 Å³/atom

***

Entry 2:
! Li4Ni2P4H3O16 | Alexandria via LeMat-Bulk | PBEsol | relaxed; values from VASP
&SYSTEM
  ibrav = 0, nat = 29, ntyp = 5
/
ATOMIC_SPECIES
Li 6.94 Li.upf
Ni 58.69 Ni.upf
P 30.97 P.upf
H 1.01 H.upf
O 16.00 O.upf
ATOMIC_POSITIONS crystal
Li 0.135 0.686 0.657
Li 0.380 0.842 0.128
Li 0.615 0.159 0.872
Li 0.864 0.313 0.346
Ni 0.000 0.500 0.001
Ni 0.497 0.999 0.500
P 0.116 0.252 0.669
P 0.364 0.239 0.151
P 0.634 0.758 0.849
P 0.878 0.748 0.332
H 0.458 0.490 0.606
H 0.535 0.505 0.369
H 0.992 0.997 0.998
O 0.114 0.827 0.459
O 0.003 0.298 0.839
O 0.150 0.370 0.176
O 0.252 0.450 0.588
O 0.385 0.663 0.950
O 0.539 0.800 0.670
O 0.233 0.054 0.057
O 0.346 0.140 0.686
O 0.651 0.862 0.313
O 0.763 0.945 0.942
O 0.456 0.199 0.331
O 0.614 0.336 0.052
O 0.733 0.550 0.410
O 0.851 0.631 0.825
O 0.992 0.702 0.162
O 0.878 0.169 0.543
CELL_PARAMETERS angstrom
-4.716 1.140 -0.114
-0.031 -6.937 -2.472
-0.534 -2.537 7.540
! energy: -6.57 eV/atom
! crystal system: triclinic
! volume: 9.6 Å³/atom

***

Entry 3:
! LiPHO2 | Alexandria via LeMat-Bulk | PBEsol | relaxed; values from VASP
&SYSTEM
  ibrav = 0, nat = 5, ntyp = 4
/
ATOMIC_SPECIES
P 30.97 P.upf
Li 6.94 Li.upf
O 16.00 O.upf
H 1.01 H.upf
ATOMIC_POSITIONS crystal
P 0.000 0.000 0.500
Li 0.000 0.000 0.000
O 0.000 0.500 0.000
O 0.500 0.000 0.000
H 0.500 0.500 0.500
CELL_PARAMETERS angstrom
3.350 0.000 0.000
0.000 3.350 0.000
0.000 0.000 4.408
! energy: -3.52 eV/atom
! crystal system: tetragonal
! volume: 9.9 Å³/atom

***

Entry 4:
! LiPH2O4 | Alexandria via LeMat-Bulk | PBEsol | relaxed; values from VASP
&SYSTEM
  ibrav = 0, nat = 32, ntyp = 4
/
ATOMIC_SPECIES
H 1.01 H.upf
Li 6.94 Li.upf
O 16.00 O.upf
P 30.97 P.upf
ATOMIC_POSITIONS crystal
H 0.491 0.559 0.373
H 0.509 0.059 0.627
H 0.991 0.559 0.127
H 0.009 0.059 0.873
H 0.980 0.374 0.363
H 0.020 0.874 0.637
H 0.480 0.374 0.137
H 0.520 0.874 0.863
Li 0.982 0.504 0.780
Li 0.018 0.004 0.220
Li 0.482 0.504 0.720
Li 0.518 0.004 0.280
O 0.780 0.857 0.314
O 0.220 0.357 0.686
O 0.280 0.857 0.186
O 0.720 0.357 0.814
O 0.929 0.703 0.600
O 0.071 0.203 0.400
O 0.429 0.703 0.900
O 0.571 0.203 0.100
O 0.577 0.596 0.486
O 0.423 0.096 0.514
O 0.077 0.596 0.014
O 0.923 0.096 0.986
O 0.908 0.511 0.310
O 0.092 0.011 0.690
O 0.408 0.511 0.190
O 0.592 0.011 0.810
P 0.804 0.676 0.428
P 0.196 0.176 0.572
P 0.304 0.676 0.072
P 0.696 0.176 0.928
CELL_PARAMETERS angstrom
-0.411 -3.800 -4.972
-5.181 -3.309 2.958
-4.882 4.755 -3.231
! energy: -6.30 eV/atom
! crystal system: orthorhombic
! volume: 10.1 Å³/atom

***

Entry 5:
! LiPH2O2 | Alexandria via LeMat-Bulk | PBEsol | relaxed; values from VASP
&SYSTEM
  ibrav = 0, nat = 12, ntyp = 4
/
ATOMIC_SPECIES
P 30.97 P.upf
Li 6.94 Li.upf
O 16.00 O.upf
H 1.01 H.upf
ATOMIC_POSITIONS crystal
P 0.814 0.814 0.718
P 0.186 0.186 0.282
Li 0.250 0.750 0.000
Li 0.750 0.250 0.000
O 0.923 0.923 0.847
O 0.077 0.077 0.153
O 0.646 0.646 0.845
O 0.354 0.354 0.155
H 0.638 0.058 0.571
H 0.942 0.362 0.429
H 0.362 0.942 0.429
H 0.058 0.638 0.571
CELL_PARAMETERS angstrom
-2.087 3.971 -3.029
-5.165 1.518 0.566
-0.009 5.275 3.593
! energy: -5.51 eV/atom
! crystal system: monoclinic
! volume: 12.6 Å³/atom

***

Entry 6:
! Li2P2H2O7 | Alexandria via LeMat-Bulk | PBEsol | relaxed; values from VASP
&SYSTEM
  ibrav = 0, nat = 78, ntyp = 4
/
ATOMIC_SPECIES
H 1.01 H.upf
Li 6.94 Li.upf
O 16.00 O.upf
P 30.97 P.upf
ATOMIC_POSITIONS crystal
H 0.969 0.708 0.069
H 0.708 0.069 0.969
H 0.069 0.969 0.708
H 0.931 0.292 0.031
H 0.031 0.931 0.292
H 0.292 0.031 0.931
H 0.031 0.292 0.931
H 0.292 0.931 0.031
H 0.931 0.031 0.292
H 0.069 0.708 0.969
H 0.969 0.069 0.708
H 0.708 0.969 0.069
Li 0.500 0.811 0.189
Li 0.811 0.189 0.500
Li 0.189 0.500 0.811
Li 0.500 0.189 0.811
Li 0.189 0.811 0.500
Li 0.811 0.500 0.189
Li 0.236 0.786 0.236
Li 0.786 0.236 0.236
Li 0.236 0.236 0.786
Li 0.764 0.214 0.764
Li 0.764 0.764 0.214
Li 0.214 0.764 0.764
O 0.217 0.953 0.400
O 0.953 0.400 0.217
O 0.400 0.217 0.953
O 0.600 0.047 0.783
O 0.783 0.600 0.047
O 0.047 0.783 0.600
O 0.783 0.047 0.600
O 0.047 0.600 0.783
O 0.600 0.783 0.047
O 0.400 0.953 0.217
O 0.217 0.400 0.953
O 0.953 0.217 0.400
O 0.647 0.161 0.342
O 0.161 0.342 0.647
O 0.342 0.647 0.161
O 0.658 0.839 0.353
O 0.353 0.658 0.839
O 0.839 0.353 0.658
O 0.353 0.839 0.658
O 0.839 0.658 0.353
O 0.658 0.353 0.839
O 0.342 0.161 0.647
O 0.647 0.342 0.161
O 0.161 0.647 0.342
O 0.442 0.164 0.442
O 0.164 0.442 0.442
O 0.442 0.442 0.164
O 0.558 0.836 0.558
O 0.558 0.558 0.836
O 0.836 0.558 0.558
O 0.796 0.581 0.796
O 0.581 0.796 0.796
O 0.796 0.796 0.581
O 0.204 0.419 0.204
O 0.204 0.204 0.419
O 0.419 0.204 0.204
O 0.072 0.742 0.072
O 0.742 0.072 0.072
O 0.072 0.072 0.742
O 0.928 0.258 0.928
O 0.928 0.928 0.258
O 0.258 0.928 0.928
P 0.298 0.112 0.485
P 0.112 0.485 0.298
P 0.485 0.298 0.112
P 0.515 0.888 0.702
P 0.702 0.515 0.888
P 0.888 0.702 0.515
P 0.702 0.888 0.515
P 0.888 0.515 0.702
P 0.515 0.702 0.888
P 0.485 0.112 0.298
P 0.298 0.485 0.112
P 0.112 0.298 0.485
CELL_PARAMETERS angstrom
10.013 -0.014 -0.019
-2.456 9.707 -0.019
-2.456 -3.151 9.182
! energy: -6.54 eV/atom
! crystal system: trigonal
! volume: 11.4 Å³/atom

***

Entry 7:
! LiPH2O3 | Alexandria via LeMat-Bulk | PBEsol | relaxed; values from VASP
&SYSTEM
  ibrav = 0, nat = 28, ntyp = 4
/
ATOMIC_SPECIES
Li 6.94 Li.upf
P 30.97 P.upf
H 1.01 H.upf
O 16.00 O.upf
ATOMIC_POSITIONS crystal
Li 0.980 0.258 0.422
Li 0.480 0.758 0.078
Li 0.520 0.258 0.922
Li 0.020 0.758 0.578
P 0.682 0.746 0.344
P 0.318 0.246 0.656
P 0.818 0.746 0.844
P 0.182 0.246 0.156
H 0.981 0.625 0.164
H 0.019 0.125 0.836
H 0.519 0.625 0.664
H 0.481 0.125 0.336
H 0.579 0.153 0.634
H 0.079 0.653 0.866
H 0.921 0.153 0.134
H 0.421 0.653 0.366
O 0.884 0.621 0.429
O 0.616 0.621 0.929
O 0.116 0.121 0.571
O 0.384 0.121 0.071
O 0.164 0.544 0.125
O 0.738 0.704 0.209
O 0.336 0.544 0.625
O 0.836 0.044 0.875
O 0.762 0.704 0.709
O 0.238 0.204 0.291
O 0.664 0.044 0.375
O 0.262 0.204 0.791
CELL_PARAMETERS angstrom
-1.933 -4.579 0.431
4.726 -2.053 -0.615
1.573 0.361 10.885
! energy: -5.98 eV/atom
! crystal system: orthorhombic
! volume: 10.2 Å³/atom

***

Entry 8:
! LiSbPHO5 | Alexandria via LeMat-Bulk | PBEsol | relaxed; values from VASP
&SYSTEM
  ibrav = 0, nat = 18, ntyp = 5
/
ATOMIC_SPECIES
Li 6.94 Li.upf
Sb 121.76 Sb.upf
P 30.97 P.upf
H 1.01 H.upf
O 16.00 O.upf
ATOMIC_POSITIONS crystal
Li 0.734 0.400 0.836
Li 0.266 0.600 0.164
Sb 0.000 0.000 0.500
Sb 0.000 0.000 0.000
P 0.678 0.373 0.222
P 0.322 0.627 0.778
H 0.398 0.047 0.323
H 0.602 0.953 0.677
O 0.792 0.069 0.724
O 0.708 0.199 0.343
O 0.323 0.364 0.662
O 0.392 0.276 0.060
O 0.908 0.379 0.132
O 0.092 0.621 0.868
O 0.608 0.724 0.940
O 0.677 0.636 0.338
O 0.292 0.801 0.657
O 0.208 0.931 0.276
CELL_PARAMETERS angstrom
-3.401 0.349 -3.943
-1.060 -5.469 1.561
-2.813 4.416 5.805
! energy: -6.45 eV/atom
! crystal system: triclinic
! volume: 11.7 Å³/atom